Entry 1:
First-principles (PBE) data for Ac3Ho2Sn3 after structural relaxation, as listed in Alexandria via LeMat-Bulk.

Final energy: -0.17689 Ha/atom

Cell: 6.8341 9.5701 9.5701 Å, 120.00 90.00 90.00°
Atoms (fractional coordinates):
Sn 0.7500 0.0000 0.5988
Sn 0.7500 0.4012 0.4012
Sn 0.2500 0.0000 0.4012
Sn 0.2500 0.5988 0.5988
Sn 0.2500 0.4012 0.0000
Sn 0.7500 0.5988 0.0000
Ac 0.2500 0.7527 0.0000
Ac 0.7500 0.2473 0.0000
Ac 0.7500 0.7527 0.7527
Ac 0.2500 0.2473 0.2473
Ac 0.7500 0.0000 0.2473
Ac 0.2500 0.0000 0.7527
Ho 0.0000 0.3333 0.6667
Ho 0.0000 0.6667 0.3333
Ho 0.5000 0.3333 0.6667
Ho 0.5000 0.6667 0.3333

---

Entry 2:
First-principles (PBE) data for ThScIn after structural relaxation, as listed in Alexandria via LeMat-Bulk.

Final energy: -0.20922 Ha/atom

Cell: 3.5069 3.5069 7.0722 Å, 104.36 104.36 90.00°
Atoms (fractional coordinates):
Sc 0.6032 0.6032 0.2064
Th 0.2840 0.2840 0.5680
In 0.9628 0.9628 0.9256

---

Entry 3:
First-principles (PBE) data for NaReHgRh2 after structural relaxation, as listed in Alexandria via LeMat-Bulk.

Final energy: -0.13530 Ha/atom

Cell: 4.5420 4.6730 4.5420 Å, 90.00 90.00 90.00°
Each line ends with the local moment (μB).
Atoms (fractional coordinates):
Hg 0.5000 0.5000 0.5000  0.00
Re 0.0000 0.5000 0.0000  2.50
Na 0.0000 0.0000 0.0000  0.02
Rh 0.0000 0.0000 0.5000  0.70
Rh 0.5000 0.0000 0.0000  0.45

---

Entry 4:
First-principles (PBE) data for La6NdSm2Ho after structural relaxation, as listed in Alexandria via LeMat-Bulk.

Final energy: -0.17095 Ha/atom

Cell: 9.3147 6.9917 6.7408 Å, 121.24 104.93 90.00°
Atoms (fractional coordinates):
Sm 0.1698 0.0724 0.1448
Sm 0.8302 0.9276 0.8552
La 0.1930 0.5696 0.6038
La 0.1930 0.0342 0.6038
La 0.8070 0.9658 0.3962
La 0.8070 0.4304 0.3962
La 0.4222 0.6287 0.2573
La 0.5778 0.3713 0.7427
Nd 0.5000 0.0000 0.0000
Ho 0.0000 0.5000 0.0000

---

Entry 5:
First-principles (PBE) data for La3Mo after structural relaxation, as listed in Alexandria via LeMat-Bulk.

Final energy: -0.21688 Ha/atom

Cell: 6.0231 6.0231 6.0231 Å, 90.00 90.00 90.00°
Atoms (fractional coordinates):
Mo 0.5000 0.5000 0.5000
Mo 0.0000 0.0000 0.0000
La 0.0000 0.2500 0.5000
La 0.5000 0.0000 0.7500
La 0.0000 0.7500 0.5000
La 0.5000 0.0000 0.2500
La 0.7500 0.5000 0.0000
La 0.2500 0.5000 0.0000

---

Entry 6:
First-principles (PBE) data for SrOsPt after structural relaxation, as listed in Alexandria via LeMat-Bulk.

Final energy: -0.17110 Ha/atom

Cell: 4.7198 4.7198 4.7198 Å, 60.00 60.00 60.00°
Each line ends with the local moment (μB).
Atoms (fractional coordinates):
Sr 0.7500 0.7500 0.7500  0.01
Pt 0.5000 0.5000 0.5000  0.17
Os 0.0000 0.0000 0.0000  1.74

---

Entry 7:
First-principles (PBE) data for BaLa2BiN after structural relaxation, as listed in Alexandria via LeMat-Bulk.

Formation energy without anion corrections: -0.85 eV/atom

Cell: 5.1104 5.1104 5.6302 Å, 90.00 90.00 90.00°
Atoms (fractional coordinates):
N 0.0000 0.0000 0.0000
La 0.5000 0.0000 0.0000
La 0.0000 0.5000 0.0000
Ba 0.0000 0.0000 0.5000
Bi 0.5000 0.5000 0.5000

---

Entry 8:
First-principles (PBE) data for Zr5PaAs4 after structural relaxation, as listed in Alexandria via LeMat-Bulk.

Final energy: -0.28688 Ha/atom

Cell: 3.7998 7.7964 8.5061 Å, 108.48 102.91 90.00°
Atoms (fractional coordinates):
As 0.9808 0.7231 0.9616
As 0.0192 0.2769 0.0384
As 0.3232 0.9076 0.6464
As 0.6768 0.0924 0.3536
Zr 0.1558 0.8313 0.3117
Zr 0.5000 0.5000 0.0000
Zr 0.8442 0.1687 0.6883
Zr 0.1905 0.3453 0.3810
Zr 0.8095 0.6547 0.6190
Pa 0.5000 0.0000 0.0000

---

Entry 9:
First-principles (PBE) data for CdAuS2 after structural relaxation, as listed in Alexandria via LeMat-Bulk.

Formation energy without anion corrections: -0.14 eV/atom

Cell: 7.6686 7.6686 7.6686 Å, 29.83 29.83 29.83°
Atoms (fractional coordinates):
Cd 0.5000 0.5000 0.5000
Au 0.0000 0.0000 0.0000
S 0.8972 0.8972 0.8972
S 0.1028 0.1028 0.1028

---

Entry 10:
First-principles (PBE) data for Zr4Pa3TaN8 after structural relaxation, as listed in Alexandria via LeMat-Bulk.

Formation energy without anion corrections: -1.57 eV/atom

Cell: 6.6230 6.7249 6.6230 Å, 119.50 120.00 90.00°
Atoms (fractional coordinates):
Zr 0.0000 0.0000 0.5000
Zr 0.5000 0.0000 0.5000
Zr 0.5000 0.0000 0.0000
Zr 0.0000 0.0000 0.0000
Pa 0.5000 0.5000 0.5000
Pa 0.5000 0.5000 0.0000
Pa 0.0000 0.5000 0.5000
N 0.2459 0.7557 0.0097
N 0.7638 0.7557 0.0097
N 0.7564 0.7692 0.5128
N 0.2362 0.2443 0.9903
N 0.2459 0.7557 0.4919
N 0.7541 0.2443 0.5081
N 0.7541 0.2443 0.9903
N 0.2436 0.2308 0.4872
Ta 0.0000 0.5000 0.0000

---

Entry 11:
First-principles (PBE) data for PmTh2InC after structural relaxation, as listed in Alexandria via LeMat-Bulk.

Final energy: -0.24418 Ha/atom

Cell: 5.1484 5.0651 5.0651 Å, 90.00 90.00 90.00°
Atoms (fractional coordinates):
C 0.0000 0.0000 0.0000
Pm 0.5000 0.0000 0.0000
Th 0.0000 0.5000 0.0000
Th 0.0000 0.0000 0.5000
In 0.5000 0.5000 0.5000

---

Entry 12:
First-principles (PBE) data for Ho5Tm3Ru2 after structural relaxation, as listed in Alexandria via LeMat-Bulk.

Final energy: -0.20604 Ha/atom

Cell: 7.9199 9.7075 9.7075 Å, 61.77 65.93 65.93°
Atoms (fractional coordinates):
Ho 0.3759 0.8588 0.3894
Ho 0.2500 0.5000 0.5000
Ho 0.5028 0.7472 0.7472
Ho 0.6241 0.1412 0.6106
Ho 0.7500 0.5000 0.5000
Ho 0.4972 0.2528 0.2528
Ho 0.1241 0.6106 0.1412
Ho 0.0028 0.7472 0.7472
Ho 0.8759 0.3894 0.8588
Ho 0.9972 0.2528 0.2528
Tm 0.2500 0.0000 0.0000
Tm 0.8757 0.8588 0.3897
Tm 0.1243 0.1412 0.6103
Tm 0.6243 0.6103 0.1412
Tm 0.3757 0.3897 0.8588
Tm 0.7500 0.0000 0.0000
Ru 0.1292 0.8716 0.8701
Ru 0.3708 0.1299 0.1284
Ru 0.8708 0.1284 0.1299
Ru 0.6292 0.8701 0.8716